SmEr4Tm2: optimized geometry, PBE.

extended XYZ file:
```
14
Lattice="6.058 0.000 0.000 0.000 6.486 0.000 -2.823 0.000 11.034" Properties=species:S:1:pos:R:3 pbc="T T T"
Sm -0.787 1.621 4.011
Sm 4.023 4.864 7.023
Er -0.953 1.621 7.323
Er -0.882 4.864 10.197
Er 1.499 3.285 2.326
Er 1.499 6.444 2.326
Er 1.736 0.042 8.708
Er 1.736 3.201 8.708
Er 4.117 1.621 0.837
Er 4.188 4.864 3.711
Tm -1.753 1.621 10.459
Tm 0.966 4.864 5.583
Tm 2.269 1.621 5.451
Tm 4.988 4.864 0.575
```

Values from the calculation:
Symmetry   No. 11
Theoretical density   8.86 g/cm3
Energy of formation   136 meV per atom
Excess energy over the best structure of this formula in the dataset   0.70 eV per formula unit
Total DFT energy (no corrections)   -4.423 eV/atom